Below is a geometry-optimized CoIr4Os structure, with properties calculated at the GGA-PBE level.

Computed properties:
ΔH_f (0 K) ... 552 meV per atom
Magnetic moment ... 2.0 μB/f.u.
Crystal system ... monoclinic

Lattice parameters (Å, degrees): 6.9655 4.0376 7.2860 90.00 108.56 90.00
Space group C2/m (No. 12)
One atom of each set of equivalent atoms:
Co1 0.0000 0.0000 0.0000 (multiplicity 2)
Ir1 0.1180 0.0000 0.3555 (multiplicity 4)
Ir2 0.1252 0.5000 0.8769 (multiplicity 4)
Os1 0.0000 0.5000 0.5000 (multiplicity 2)


Below is a geometry-optimized CoIr6Os2 structure, with properties calculated at the GGA-PBE level.

Computed properties:
ΔH_f (0 K) ... 31 meV per atom
Magnetic moment ... 1.0 μB/f.u.
Crystal system ... monoclinic

Lattice parameters (Å, degrees): 11.7972 2.7222 8.1375 90.00 103.28 90.00
Space group C2/m (No. 12)
One atom of each set of equivalent atoms:
Co1 0.0000 0.0000 0.0000 (multiplicity 2)
Ir1 0.0020 0.0000 0.3281 (multiplicity 4)
Ir2 0.1649 0.5000 0.8937 (multiplicity 4)
Ir3 0.1695 0.5000 0.5582 (multiplicity 4)
Os1 0.1660 0.5000 0.2183 (multiplicity 4)


Below is a geometry-optimized Co2IrOs2 structure, with properties calculated at the GGA-PBE level.

Computed properties:
ΔH_f (0 K) ... 306 meV per atom
Magnetic moment ... 1.4 μB/f.u.
Crystal system ... tetragonal

Lattice parameters (Å, degrees): 6.9488 6.9488 2.7023 90.00 90.00 90.00
Space group P4/mbm (No. 127)
One atom of each set of equivalent atoms:
Co1 0.1204 0.3796 0.0000 (multiplicity 4)
Ir1 0.0000 0.0000 0.0000 (multiplicity 2)
Os1 0.1754 0.6754 0.5000 (multiplicity 4)


Below is a geometry-optimized Co3Ir12Os structure, with properties calculated at the GGA-PBE level.

Computed properties:
ΔH_f (0 K) ... 24 meV per atom
Magnetic moment ... 1.4 μB/f.u.
Crystal system ... tetragonal

Lattice parameters (Å, degrees): 3.8158 3.8158 15.2867 90.00 90.00 90.00
Space group P4/mmm (No. 123)
One atom of each set of equivalent atoms:
Co1 0.0000 0.0000 0.0000 (multiplicity 1)
Co2 0.0000 0.0000 0.2439 (multiplicity 2)
Ir1 0.0000 0.5000 0.1240 (multiplicity 4)
Ir2 0.0000 0.5000 0.3737 (multiplicity 4)
Ir3 0.5000 0.5000 0.0000 (multiplicity 1)
Ir4 0.5000 0.5000 0.2489 (multiplicity 2)
Ir5 0.5000 0.5000 0.5000 (multiplicity 1)
Os1 0.0000 0.0000 0.5000 (multiplicity 1)


Below is a geometry-optimized Co2Ir4Os structure, with properties calculated at the GGA-PBE level.

Computed properties:
ΔH_f (0 K) ... 39 meV per atom
Magnetic moment ... 3.4 μB/f.u.
Crystal system ... trigonal

Lattice parameters (Å, degrees): 2.7001 2.7001 45.4037 90.00 90.00 120.00
Space group R-3m (No. 166, hexagonal axes)
One atom of each set of equivalent atoms:
Co1 0.0000 0.0000 0.0708 (multiplicity 6)
Ir1 0.0000 0.0000 0.2158 (multiplicity 6)
Ir2 0.0000 0.0000 0.3585 (multiplicity 6)
Os1 0.0000 0.0000 0.5000 (multiplicity 3)


Below is a geometry-optimized CoIrOs4 structure, with properties calculated at the GGA-PBE level.

Computed properties:
ΔH_f (0 K) ... 928 meV per atom
Magnetic moment ... 3.5 μB/f.u.
Crystal system ... cubic

Lattice parameters (Å, degrees): 7.1875 7.1875 7.1875 90.00 90.00 90.00
Space group F-43m (No. 216)
One atom of each set of equivalent atoms:
Co1 0.0000 0.0000 0.0000 (multiplicity 4)
Ir1 0.2500 0.2500 0.7500 (multiplicity 4)
Os1 0.1248 0.1248 0.3752 (multiplicity 16)


Below is a geometry-optimized Co2IrOsPb structure, with properties calculated at the GGA-PBE level.

Computed properties:
ΔH_f (0 K) ... 1349 meV per atom
Magnetic moment ... 4.7 μB/f.u.
Crystal system ... tetragonal

Lattice parameters (Å, degrees): 4.6384 4.6384 4.7688 90.00 90.00 90.00
Space group P4/mmm (No. 123)
One atom of each set of equivalent atoms:
Co1 0.0000 0.5000 0.0000 (multiplicity 2)
Ir1 0.0000 0.0000 0.0000 (multiplicity 1)
Os1 0.0000 0.0000 0.5000 (multiplicity 1)
Pb1 0.5000 0.5000 0.5000 (multiplicity 1)


Below is a geometry-optimized CoIrOsRh structure, with properties calculated at the GGA-PBE level.

Computed properties:
ΔH_f (0 K) ... 64 meV per atom
Magnetic moment ... 2.0 μB/f.u.
Crystal system ... trigonal

Lattice parameters (Å, degrees): 2.7027 2.7027 25.9369 90.00 90.00 120.00
Space group R3m (No. 160, hexagonal axes)
One atom of each set of equivalent atoms:
Co1 0.0000 0.0000 0.0000 (multiplicity 3)
Ir1 0.0000 0.0000 0.5854 (multiplicity 3)
Os1 0.0000 0.0000 0.1659 (multiplicity 3)
Rh1 0.0000 0.0000 0.7471 (multiplicity 3)


Below is a geometry-optimized CoIrOs2Rh structure, with properties calculated at the GGA-PBE level.

Computed properties:
ΔH_f (0 K) ... 2129 meV per atom
Magnetic moment ... 4.0 μB/f.u.
Crystal system ... tetragonal

Lattice parameters (Å, degrees): 4.6689 4.6689 4.4641 90.00 90.00 90.00
Space group P4/mmm (No. 123)
One atom of each set of equivalent atoms:
Co1 0.0000 0.0000 0.0000 (multiplicity 1)
Ir1 0.0000 0.0000 0.5000 (multiplicity 1)
Os1 0.0000 0.5000 0.5000 (multiplicity 2)
Rh1 0.5000 0.5000 0.0000 (multiplicity 1)


Below is a geometry-optimized CoIr2Os2Rh2 structure, with properties calculated at the GGA-PBE level.

Computed properties:
ΔH_f (0 K) ... 61 meV per atom
Magnetic moment ... 0.0 μB/f.u.
Crystal system ... monoclinic

Lattice parameters (Å, degrees): 8.5361 3.7956 6.0247 90.00 97.33 90.00
Space group C2/m (No. 12)
One atom of each set of equivalent atoms:
Co1 0.0000 0.0000 0.0000 (multiplicity 2)
Ir1 0.1440 0.0000 0.4309 (multiplicity 4)
Os1 0.2171 0.5000 0.1402 (multiplicity 4)
Rh1 0.0699 0.5000 0.7290 (multiplicity 4)